1.
Li2Pr2Cu15 | PBE | optimized geometry

Geometry as extended XYZ:
```
19
Lattice="6.557 -0.014 -0.012 0.837 6.503 -0.012 0.837 0.735 6.462" Properties=species:S:1:pos:R:3 pbc="T T T"
Li 0.764 0.671 0.597
Li 7.467 6.554 5.840
Pr 2.840 2.492 2.221
Pr 5.392 4.732 4.217
Cu 3.279 -0.007 -0.006
Cu 0.419 0.367 3.231
Cu 0.419 3.252 -0.006
Cu 0.837 4.781 1.921
Cu 4.849 1.932 -0.012
Cu 2.545 0.511 4.529
Cu 2.545 4.557 -0.012
Cu 4.849 0.210 1.921
Cu 0.837 2.457 4.529
Cu 2.132 4.761 4.242
Cu 4.997 4.386 0.999
Cu 4.997 1.496 4.242
Cu 6.099 2.463 2.195
Cu 3.234 2.838 5.438
Cu 3.234 5.728 2.195
```

As for the space group: R-3m.

---

2.
NaSr2Ir | PBE | optimized geometry

Geometry as extended XYZ:
```
4
Lattice="-4.667 -1.646 2.157 -3.993 3.540 0.818 -4.455 -0.206 -3.042" Properties=species:S:1:pos:R:3 pbc="T T T"
Sr -3.279 0.422 -0.017
Sr -9.836 1.266 -0.051
Ir -6.558 0.844 -0.034
Na 0.000 0.000 0.000
```

Its offset from the most stable computed form is 51 meV per atom. As for the space group: Fm-3m.

---

Number 1: density of states at the Fermi level 11.50 states/eV per cell, formation energy -121 meV per atom, electronic total energy -77.12 eV/cell. Number 2: density of states at the Fermi level 0.18 states/eV per cell, formation energy 2 meV per atom, electronic total energy -13.54 eV/cell.